No. 1
SrNi2Au PBE-GGA optimized geometry; total moment = 0.5 μB/cell; formation energy from the elements = 0.195 eV per atom
1.0
5.227 0.015 0.000
2.006 4.827 0.000
-3.616 -2.421 2.896
Ni Au Sr
2 1 1
Cartesian
1.003 2.414 1.448
0.000 0.000 0.000
2.614 0.007 1.448
3.616 2.421 0.000

=====

No. 2
NaLaScAu2 PBE-GGA optimized geometry; total moment = 0.4 μB/cell; formation energy from the elements = 0.463 eV per atom
1.0
-1.425 -4.221 -2.269
4.456 -2.300 1.482
-2.194 -1.529 4.223
La Sc Au Na
1 1 2 1
Cartesian
2.228 -1.150 0.741
0.418 -4.025 1.718
-1.097 -0.765 2.112
-0.712 -2.110 -1.134
0.000 0.000 0.000

=====

No. 3
CuPbCl2 PBE-GGA optimized geometry; ΔE_f (raw) = -340 meV/atom; total moment = 1.7 μB/cell; E above lowest polymorph = 162 meV/atom
1.0
-0.106 -6.609 0.883
3.459 -0.810 -5.644
5.851 -3.440 0.140
Cl Pb Cu
4 2 2
Cartesian
1.838 -4.482 -0.200
7.003 -8.997 -3.540
3.601 -2.802 -3.300
5.965 -5.437 -2.201
0.000 0.000 0.000
3.710 -6.879 -0.679
5.493 -3.980 -3.942
1.676 -3.709 -2.380

=====

No. 4
MnSiAs2 PBE-GGA optimized geometry; ΔE_f (raw) = 240 meV/atom; total moment = 0.0 μB/cell
1.0
-2.568 -1.158 -0.883
-0.389 -1.180 2.679
-3.285 5.725 2.045
As Si Mn
2 1 1
Cartesian
-0.135 0.236 0.084
-1.507 2.627 0.938
-3.942 3.124 2.432
-2.300 0.262 1.410

=====

No. 5
TlCu4Ag PBE-GGA optimized geometry; total moment = 0.0 μB/cell; formation energy from the elements = 0.142 eV per atom
1.0
2.891 2.940 2.925
-1.882 4.277 1.930
-0.939 0.338 4.956
Cu Tl Ag
4 1 1
Cartesian
1.478 4.305 5.143
-0.918 4.977 4.644
-0.445 2.999 6.163
0.027 2.830 3.675
0.053 5.667 7.359
0.000 0.000 0.000

=====

No. 6
TmCrFeSi2 PBE-GGA optimized geometry; ΔE_f (raw) = -557 meV/atom; total moment = 3.0 μB/cell
1.0
-3.132 -0.434 2.247
-2.238 -0.217 -3.162
3.317 -4.742 0.359
Fe Cr Si Tm
1 1 2 1
Cartesian
-1.250 -2.751 1.074
-0.803 -2.643 -1.630
-2.535 -1.532 -0.481
0.481 -3.861 -0.075
0.000 0.000 0.000

=====

The highest total moment belongs to which entry? TmCrFeSi2

=====

Repeat the third record exactly.
CuPbCl2 PBE-GGA optimized geometry; ΔE_f (raw) = -340 meV/atom; total moment = 1.7 μB/cell; E above lowest polymorph = 162 meV/atom
1.0
-0.106 -6.609 0.883
3.459 -0.810 -5.644
5.851 -3.440 0.140
Cl Pb Cu
4 2 2
Cartesian
1.838 -4.482 -0.200
7.003 -8.997 -3.540
3.601 -2.802 -3.300
5.965 -5.437 -2.201
0.000 0.000 0.000
3.710 -6.879 -0.679
5.493 -3.980 -3.942
1.676 -3.709 -2.380